Material: LuNb2Pb
Method: DFT, PBE
State: relaxed

Computed properties:
The crystal system is cubic. The calculation puts the uncorrected energy at -6.94 eV per atom.

abc: 6.977 6.977 6.977
angles: 90.00 90.00 90.00
Space group F-43m (No. 216)
Asymmetric unit:
1 Lu 0.000 0.000 0.000 [4 per cell]
2 Nb 0.000 0.000 0.500 [4 per cell]
3 Nb 0.250 0.250 0.250 [4 per cell]
4 Pb 0.250 0.250 0.750 [4 per cell]

Material: LuNb2Pd
Method: DFT, PBE
State: relaxed

Computed properties:
The crystal system is cubic. Its formation energy is -0.300 eV per formula unit.

abc: 6.680 6.680 6.680
angles: 90.00 90.00 90.00
Space group F-43m (No. 216)
Asymmetric unit:
1 Lu 0.000 0.000 0.000 [4 per cell]
2 Nb 0.000 0.000 0.500 [4 per cell]
3 Nb 0.250 0.250 0.250 [4 per cell]
4 Pd 0.250 0.250 0.750 [4 per cell]

Material: LuNbSn2Pt2
Method: DFT, PBE
State: relaxed

Computed properties:
The crystal system is orthorhombic. The calculation puts the uncorrected energy at -6.63 eV per atom.

abc: 4.509 9.033 6.394
angles: 90.00 90.00 90.00
Space group Pmn2_1 (No. 31)
Asymmetric unit:
1 Lu 0.000 0.124 0.000 [2 per cell]
2 Nb 0.000 0.625 0.003 [2 per cell]
3 Sn 0.000 0.126 0.493 [2 per cell]
4 Sn 0.000 0.625 0.511 [2 per cell]
5 Pt 0.000 0.386 0.261 [2 per cell]
6 Pt 0.000 0.862 0.240 [2 per cell]

Material: RbLuNb
Method: DFT, PBE
State: relaxed

Computed properties:
The crystal system is cubic. The calculation puts the uncorrected energy at -3.51 eV per atom.

abc: 7.807 7.807 7.807
angles: 90.00 90.00 90.00
Space group F-43m (No. 216)
Asymmetric unit:
1 Rb 0.000 0.000 0.000 [4 per cell]
2 Lu 0.000 0.000 0.500 [4 per cell]
3 Nb 0.250 0.250 0.750 [4 per cell]

Material: RbLuNb
Method: DFT, PBE
State: relaxed

Computed properties:
The crystal system is cubic. The calculation puts the uncorrected energy at -2.96 eV per atom.

abc: 7.599 7.599 7.599
angles: 90.00 90.00 90.00
Space group F-43m (No. 216)
Asymmetric unit:
1 Rb 0.000 0.000 0.000 [4 per cell]
2 Lu 0.250 0.250 0.750 [4 per cell]
3 Nb 0.250 0.250 0.250 [4 per cell]

Material: LuNb2Re
Method: DFT, PBE
State: relaxed

Computed properties:
The crystal system is cubic. Its formation energy is 0.664 eV per formula unit.

abc: 6.666 6.666 6.666
angles: 90.00 90.00 90.00
Space group F-43m (No. 216)
Asymmetric unit:
1 Lu 0.000 0.000 0.000 [4 per cell]
2 Nb 0.000 0.000 0.500 [4 per cell]
3 Nb 0.250 0.250 0.250 [4 per cell]
4 Re 0.250 0.250 0.750 [4 per cell]

Material: Lu2NbSb
Method: DFT, PBE
State: relaxed

Computed properties:
The crystal system is cubic. The calculation puts the uncorrected energy at -5.84 eV per atom.

abc: 7.144 7.144 7.144
angles: 90.00 90.00 90.00
Space group F-43m (No. 216)
Asymmetric unit:
1 Lu 0.000 0.000 0.000 [4 per cell]
2 Lu 0.250 0.250 0.250 [4 per cell]
3 Nb 0.250 0.250 0.750 [4 per cell]
4 Sb 0.000 0.000 0.500 [4 per cell]

Material: LuNbSb2
Method: DFT, PBE
State: relaxed

Computed properties:
The crystal system is cubic. The calculation puts the uncorrected energy at -5.60 eV per atom.

abc: 7.210 7.210 7.210
angles: 90.00 90.00 90.00
Space group F-43m (No. 216)
Asymmetric unit:
1 Lu 0.000 0.000 0.000 [4 per cell]
2 Nb 0.250 0.250 0.750 [4 per cell]
3 Sb 0.000 0.000 0.500 [4 per cell]
4 Sb 0.250 0.250 0.250 [4 per cell]